(1)
# Sc2BeW (PBE-GGA, relaxed)
# **E**: -6.72 eV/atom
# **M_tot**: 0.0 μB/cell
# **Energy relative to the elements**: 0.61 eV per atom
data_Sc2BeW
_chemical_formula_sum 'Sc8 Be4 W4'
_symmetry_space_group_name_H-M 'I -4 2 d'
_symmetry_Int_Tables_number 122
_symmetry_space_group_name_Hall 'I -4 2bw'
_cell_length_a 7.2745
_cell_length_b 7.2745
_cell_length_c 5.2883
_cell_angle_alpha 90.00
_cell_angle_beta 90.00
_cell_angle_gamma 90.00
loop_
_atom_site_label
_atom_site_type_symbol
_atom_site_fract_x
_atom_site_fract_y
_atom_site_fract_z
Sc1 Sc 0.2144 0.2500 0.1250
Be1 Be 0.0000 0.0000 0.0000
W1 W 0.0000 0.0000 0.5000

(2)
# Ba3Sb2 (PBE-GGA, relaxed)
# **Formation energy (no corrections)**: -1.014 eV/atom
# **E**: -3.82 eV/atom
# **Energy above the lowest structure with this stoichiometry**: 2.0 meV/atom
# **M_tot**: 0.0 μB/cell
data_Ba3Sb2
_chemical_formula_sum 'Ba18 Sb12'
_symmetry_space_group_name_H-M 'C 1 2/m 1'
_symmetry_Int_Tables_number 12
_cell_length_a 20.4966
_cell_length_b 5.4565
_cell_length_c 13.1455
_cell_angle_alpha 90.00
_cell_angle_beta 97.39
_cell_angle_gamma 90.00
loop_
_symmetry_equiv_pos_as_xyz
'x,y,z'
'-x,-y,-z'
'-x,y,-z'
'x,-y,z'
'x+1/2,y+1/2,z'
'-x+1/2,-y+1/2,-z'
'-x+1/2,y+1/2,-z'
'x+1/2,-y+1/2,z'
loop_
_atom_site_label
_atom_site_type_symbol
_atom_site_fract_x
_atom_site_fract_y
_atom_site_fract_z
Ba1 Ba 0.0000 0.0000 0.0000
Ba2 Ba 0.0250 0.0000 0.6575
Ba3 Ba 0.1309 0.5000 0.2901
Ba4 Ba 0.1738 0.5000 0.9735
Ba5 Ba 0.2054 0.5000 0.6287
Sb1 Sb 0.0331 0.5000 0.8143
Sb2 Sb 0.1418 0.0000 0.4831
Sb3 Sb 0.1787 0.0000 0.1388

- Look up the E of the second one.
  -3.82 eV/atom

- Which value of M_tot does entry 1 give?
  0.0 μB/cell

Please write out number 2 again, unchanged.
# Ba3Sb2 (PBE-GGA, relaxed)
# **Formation energy (no corrections)**: -1.014 eV/atom
# **E**: -3.82 eV/atom
# **Energy above the lowest structure with this stoichiometry**: 2.0 meV/atom
# **M_tot**: 0.0 μB/cell
data_Ba3Sb2
_chemical_formula_sum 'Ba18 Sb12'
_symmetry_space_group_name_H-M 'C 1 2/m 1'
_symmetry_Int_Tables_number 12
_cell_length_a 20.4966
_cell_length_b 5.4565
_cell_length_c 13.1455
_cell_angle_alpha 90.00
_cell_angle_beta 97.39
_cell_angle_gamma 90.00
loop_
_symmetry_equiv_pos_as_xyz
'x,y,z'
'-x,-y,-z'
'-x,y,-z'
'x,-y,z'
'x+1/2,y+1/2,z'
'-x+1/2,-y+1/2,-z'
'-x+1/2,y+1/2,-z'
'x+1/2,-y+1/2,z'
loop_
_atom_site_label
_atom_site_type_symbol
_atom_site_fract_x
_atom_site_fract_y
_atom_site_fract_z
Ba1 Ba 0.0000 0.0000 0.0000
Ba2 Ba 0.0250 0.0000 0.6575
Ba3 Ba 0.1309 0.5000 0.2901
Ba4 Ba 0.1738 0.5000 0.9735
Ba5 Ba 0.2054 0.5000 0.6287
Sb1 Sb 0.0331 0.5000 0.8143
Sb2 Sb 0.1418 0.0000 0.4831
Sb3 Sb 0.1787 0.0000 0.1388

- What is the E in the first record?
  -6.72 eV/atom